Entry 1:
# InRe2HgPb

InRe2HgPb after structural relaxation (GGA-PBE, Alexandria via LeMat-Bulk).

Calculated values
ΔE_f = 2.39 eV per atom
DOS at the Fermi energy = 5.12 states/eV/f.u.

a b c (Å): 5.1988 5.8412 5.1988
angles (deg): 90.00 90.00 90.00
Last column: nearest neighbours and their distance in Å.
Positions (direct):
Pb1 0.0000 0.0000 0.0000  4 Re 2.60
Re1 0.0000 0.0000 0.5000  2 Pb 2.60
Re2 0.5000 0.0000 0.0000  2 Pb 2.60
Hg1 0.5000 0.5000 0.5000  4 In 3.68, 8 Re 3.91
In1 0.0000 0.5000 0.0000  2 Pb 2.92


Entry 2:
# In2HgRhPb

In2HgRhPb after structural relaxation (GGA-PBE, Alexandria via LeMat-Bulk).

Calculated values
ΔE_f = -0.08 eV per atom
DOS at the Fermi energy = 2.22 states/eV/f.u.

a b c (Å): 5.2507 5.2507 5.2939
angles (deg): 90.00 90.00 90.00
Last column: nearest neighbours and their distance in Å.
Positions (direct):
Pb1 0.0000 0.0000 0.5000  2 Rh 2.65
Rh1 0.0000 0.0000 0.0000  4 In 2.63, 2 Pb 2.65
Hg1 0.5000 0.5000 0.5000  4 Pb 3.71, 8 In 3.73
In1 0.0000 0.5000 0.0000  2 Rh 2.63
In2 0.5000 0.0000 0.0000  2 Rh 2.63


Entry 3:
# In2HgRuPb

In2HgRuPb after structural relaxation (GGA-PBE, Alexandria via LeMat-Bulk).

Calculated values
ΔE_f = 0.04 eV per atom
DOS at the Fermi energy = 1.44 states/eV/f.u.

a b c (Å): 5.2383 5.2383 5.2276
angles (deg): 90.00 90.00 90.00
Last column: nearest neighbours and their distance in Å.
Positions (direct):
Pb1 0.0000 0.0000 0.5000  2 Ru 2.61
Ru1 0.0000 0.0000 0.0000  2 Pb 2.61, 4 In 2.62
Hg1 0.5000 0.5000 0.5000  8 In 3.70, 4 Pb 3.70
In1 0.0000 0.5000 0.0000  2 Ru 2.62
In2 0.5000 0.0000 0.0000  2 Ru 2.62


Entry 4:
# InHgPb2S5

InHgPb2S5 after structural relaxation (GGA-PBE, Alexandria via LeMat-Bulk).

Calculated values
DOS at the Fermi energy = 5.62 states/eV/f.u.
Raw formation energy = -0.293 eV/atom

a b c (Å): 3.9318 9.5116 12.4524
angles (deg): 90.00 90.00 101.93
Last column: nearest neighbours and their distance in Å.
Positions (direct):
In1 0.5667 0.1334 0.9434  4 S 2.45-2.53
In2 0.4333 0.8666 0.4434  4 S 2.45-2.53
Hg1 0.7718 0.5436 0.5394  5 S 2.64-2.77
Hg2 0.2282 0.4564 0.0394  5 S 2.64-2.77
Pb1 0.8843 0.7687 0.7994  7 S 2.97-3.24
Pb2 0.0986 0.1972 0.6396  5 S 2.81-3.13
Pb3 0.1157 0.2313 0.2994  7 S 2.97-3.24
Pb4 0.9014 0.8028 0.1396  5 S 2.81-3.13
S1 0.3725 0.7451 0.9841  1 Hg 2.77, 4 Pb 2.81-3.03
S2 0.6997 0.3994 0.9030  1 In 2.53, 2 Hg 2.65
S3 0.5023 0.0047 0.7718  1 In 2.45
S4 0.2711 0.5421 0.6810  2 Hg 2.64
S5 0.9527 0.9054 0.5621  2 In 2.49
S6 0.6275 0.2549 0.4841  1 Hg 2.77, 4 Pb 2.81-3.03
S7 0.3003 0.6006 0.4030  1 In 2.53, 2 Hg 2.65
S8 0.4977 0.9953 0.2718  1 In 2.45
S9 0.7289 0.4579 0.1810  2 Hg 2.64
S10 0.0473 0.0946 0.0621  2 In 2.49


Entry 5:
# InHgPb2S

InHgPb2S after structural relaxation (GGA-PBE, Alexandria via LeMat-Bulk).

Calculated values
DOS at the Fermi energy = 4.03 states/eV/f.u.
Raw formation energy = 0.177 eV/atom

a b c (Å): 5.6019 5.3599 5.6019
angles (deg): 90.00 90.00 90.00
Last column: nearest neighbours and their distance in Å.
Positions (direct):
Pb1 0.0000 0.0000 0.5000  2 S 2.80
Pb2 0.5000 0.0000 0.0000  2 S 2.80
S1 0.0000 0.0000 0.0000  2 In 2.68, 4 Pb 2.80
Hg1 0.5000 0.5000 0.5000  8 Pb 3.88, 4 In 3.96
In1 0.0000 0.5000 0.0000  2 S 2.68


Entry 6:
# ScInHgPb

ScInHgPb after structural relaxation (GGA-PBE, Alexandria via LeMat-Bulk).

Calculated values
ΔE_f = -0.23 eV per atom
DOS at the Fermi energy = 1.50 states/eV/f.u.

a b c (Å): 4.4687 4.5070 4.7976
angles (deg): 90.00 90.00 90.00
Last column: nearest neighbours and their distance in Å.
Positions (direct):
Sc1 0.0000 0.0000 0.0000  4 Pb 3.17, 4 In 3.28, 4 Hg 3.29
In1 0.5000 0.0000 0.5000  4 Hg 3.17, 4 Sc 3.28, 4 Pb 3.29
Hg1 0.0000 0.5000 0.5000  4 In 3.17, 4 Pb 3.28, 4 Sc 3.29
Pb1 0.5000 0.5000 0.0000  4 Sc 3.17, 4 Hg 3.28, 4 In 3.29


Entry 7:
# InHgPbSe

InHgPbSe after structural relaxation (GGA-PBE, Alexandria via LeMat-Bulk).

Calculated values
Energy above the lowest structure with this stoichiometry = 0 meV per atom
DOS at the Fermi energy = 1.47 states/eV/f.u.
Raw formation energy = -0.120 eV/atom

a b c (Å): 5.1173 5.1173 12.1430
angles (deg): 77.84 77.84 60.00
Last column: nearest neighbours and their distance in Å.
Positions (direct):
In1 0.6099 0.6099 0.1704  4 Hg 3.04-3.11
In2 0.3901 0.3901 0.8296  4 Hg 3.04-3.11
Hg1 0.6959 0.6959 0.9124  4 In 3.04-3.11
Hg2 0.3041 0.3041 0.0876  4 In 3.04-3.11
Pb1 0.7927 0.7927 0.6219  4 Se 2.96-3.02
Pb2 0.2073 0.2073 0.3781  4 Se 2.96-3.02
Se1 0.1219 0.1219 0.6342  4 Pb 2.96-3.02
Se2 0.8781 0.8781 0.3658  4 Pb 2.96-3.02


Entry 8:
# In4HgPbSe8

In4HgPbSe8 after structural relaxation (GGA-PBE, Alexandria via LeMat-Bulk).

Calculated values
DOS at the Fermi energy = 4.04 states/eV/f.u.
Raw formation energy = -0.423 eV/atom

a b c (Å): 8.3243 8.3243 8.3195
angles (deg): 59.98 59.98 60.00
Last column: nearest neighbours and their distance in Å.
Positions (direct):
In1 0.6197 0.6197 0.1408  4 Se 2.67-2.80
In2 0.0025 0.4930 0.5020  6 Se 2.75-2.89
In3 0.4930 0.0025 0.5020  6 Se 2.75-2.89
In4 0.0025 0.0025 0.5020  6 Se 2.75-2.89
Hg1 0.3769 0.3769 0.8692  4 Se 2.71-2.75
Pb1 0.0027 0.0027 0.9920  6 Se 2.95-3.01
Se1 0.2528 0.7755 0.7189  1 Hg 2.71, 2 In 2.75, 1 Pb 2.95
Se2 0.7755 0.2528 0.7189  1 Hg 2.71, 2 In 2.75, 1 Pb 2.95
Se3 0.2528 0.2528 0.7189  1 Hg 2.71, 2 In 2.75, 1 Pb 2.95
Se4 0.2418 0.2418 0.2746  1 Hg 2.75, 3 In 2.82
Se5 0.7479 0.2266 0.2776  3 In 2.67-2.82
Se6 0.2266 0.7479 0.2776  3 In 2.67-2.82
Se7 0.7479 0.7479 0.2776  3 In 2.67-2.82
Se8 0.7574 0.7574 0.7279  4 In 2.80-2.89


Entry 9:
# InHgPbSe

InHgPbSe after structural relaxation (GGA-PBE, Alexandria via LeMat-Bulk).

Calculated values
Energy above the lowest structure with this stoichiometry = 42 meV per atom
DOS at the Fermi energy = 2.70 states/eV/f.u.
Raw formation energy = -0.078 eV/atom

a b c (Å): 5.3755 5.3755 5.3755
angles (deg): 60.00 60.00 60.00
Last column: nearest neighbours and their distance in Å.
Positions (direct):
Pb1 0.7500 0.7500 0.7500  4 Se 3.29, 4 Hg 3.29
Hg1 0.0000 0.0000 0.0000  4 Pb 3.29, 4 In 3.29
Se1 0.5000 0.5000 0.5000  4 In 3.29, 4 Pb 3.29
In1 0.2500 0.2500 0.2500  4 Hg 3.29, 4 Se 3.29


Entry 10:
# SmIn3Hg4Pb2

SmIn3Hg4Pb2 after structural relaxation (GGA-PBE, Alexandria via LeMat-Bulk).

Calculated values
ΔE_f = -0.04 eV per atom
DOS at the Fermi energy = 6.24 states/eV/f.u.

a b c (Å): 4.5258 4.5258 14.2490
angles (deg): 90.00 90.00 90.00
Last column: nearest neighbours and their distance in Å.
Positions (direct):
Sm1 0.5000 0.5000 0.5000  4 Hg 3.11, 4 In 3.20
In1 0.0000 0.0000 0.5000  4 Hg 3.11, 4 Sm 3.20
In2 0.5000 0.0000 0.8503  5 Hg 2.85-3.11
In3 0.0000 0.5000 0.1497  5 Hg 2.85-3.11
Hg1 0.5000 0.5000 0.0000  4 In 3.11, 4 Hg 3.20
Hg2 0.0000 0.0000 0.0000  4 In 3.11, 4 Hg 3.20
Hg3 0.5000 0.0000 0.6501  3 In 2.85-3.11, 2 Sm 3.11
Hg4 0.0000 0.5000 0.3499  3 In 2.85-3.11, 2 Sm 3.11
Pb1 0.5000 0.0000 0.2815  4 Hg 3.35, 4 In 3.71
Pb2 0.0000 0.5000 0.7185  4 Hg 3.35, 4 In 3.71


DFT total energy per entry: -3.941, -3.451, -3.711, -3.748, -2.740, -3.500, -2.678, -3.483, -2.636, -2.199 eV per atom
Density per entry: 9.414, 8.423, 8.549, 6.488, 7.521, 9.754, 7.480, 6.107, 9.095, 9.738 g/cm³